# 1
Compound: CaErZn2Au5
Source: the Alexandria database
Functional: PBE-GGA
Structure: optimized geometry

Values from the calculation:
Calculated total energy ... -3.319 eV/atom
DOS at the Fermi energy ... 0.28 states/eV per atom

Cell: 4.436 4.436 9.174 Å, 90.00 90.00 90.00°
Fractional coordinates of all 9 atoms:
1 Ca 0.000 0.000 0.500
2 Er 0.000 0.000 0.000
3 Zn 0.500 0.500 0.128
4 Zn 0.500 0.500 0.872
5 Au 0.000 0.500 0.268
6 Au 0.500 0.000 0.268
7 Au 0.000 0.500 0.732
8 Au 0.500 0.000 0.732
9 Au 0.500 0.500 0.500


# 2
Compound: TmGeRh2
Source: the Alexandria database
Functional: PBE-GGA
Structure: optimized geometry

Values from the calculation:
Calculated total energy ... -6.742 eV/atom
DOS at the Fermi energy ... 0.36 states/eV per atom

Cell: 5.591 5.591 5.634 Å, 114.85 114.85 98.81°
Fractional coordinates of all 8 atoms:
1 Tm 0.232 0.768 0.000
2 Tm 0.768 0.232 0.000
3 Ge 0.261 0.261 0.522
4 Ge 0.739 0.739 0.478
5 Rh 0.274 0.274 0.000
6 Rh 0.750 0.250 0.500
7 Rh 0.726 0.726 0.000
8 Rh 0.250 0.750 0.500


# 3
Compound: CuOsI2N
Source: the Alexandria database
Functional: PBE-GGA
Structure: optimized geometry

Values from the calculation:
DOS at the Fermi energy ... 0.80 states/eV per atom
Uncorrected formation energy ... 1649 meV/atom

Cell: 5.336 5.336 3.491 Å, 90.00 90.00 90.00°
Site moments in Bohr magnetons follow the coordinates.
Fractional coordinates of all 5 atoms:
1 I 0.000 0.500 0.000  0.09
2 I 0.500 0.000 0.000  0.09
3 Os 0.500 0.500 0.500  -0.10
4 Cu 0.000 0.000 0.000  0.27
5 N 0.000 0.000 0.500  0.88


# 4
Compound: AcLaBO5
Source: the Alexandria database
Functional: PBE-GGA
Structure: optimized geometry

Values from the calculation:
DOS at the Fermi energy ... 0.85 states/eV per atom
Uncorrected formation energy ... -2732 meV/atom

Cell: 5.783 5.783 7.551 Å, 90.01 90.01 103.48°
Site moments in Bohr magnetons follow the coordinates.
Fractional coordinates of all 16 atoms:
1 Ac 0.000 0.000 0.500  0.03
2 Ac 0.000 0.000 0.000  0.03
3 La 0.400 0.600 0.250  0.00
4 La 0.600 0.400 0.750  0.00
5 B 0.738 0.262 0.250  -0.01
6 B 0.262 0.738 0.750  -0.01
7 O 0.151 0.849 0.250  0.20
8 O 0.849 0.151 0.750  0.20
9 O 0.011 0.318 0.250  0.16
10 O 0.989 0.682 0.750  0.16
11 O 0.682 0.989 0.250  0.16
12 O 0.318 0.011 0.750  0.16
13 O 0.647 0.354 0.411  0.18
14 O 0.353 0.646 0.589  0.18
15 O 0.646 0.353 0.089  0.18
16 O 0.354 0.647 0.911  0.18